Below is Fe2NiSnO6 after structural relaxation, with properties calculated at the PBE with a Hubbard U level.

Computed properties:
The calculation puts the density at 6.0 g/cm3. The total energy is -6.01 eV/atom.

a b c (Å): 5.158 5.157 5.519
angles (deg): 62.16 62.12 60.01
Last column: magnetic moment on the atom in μB.
Fractional positions:
O: 0.628 0.226 0.243  0.09
O: 0.734 0.122 0.751  0.07
O: 0.394 0.734 0.751  0.07
O: 0.226 0.903 0.243  0.09
O: 0.122 0.394 0.751  0.07
O: 0.903 0.628 0.243  0.09
Sn: 0.313 0.313 0.060  0.03
Fe: 0.013 0.013 0.960  1.23
Fe: 0.518 0.518 0.446  4.31
Ni: 0.810 0.810 0.569  1.78